! RuBr | Alexandria | PBE | optimized geometry; values from VASP
&SYSTEM
  ibrav = 0, nat = 2, ntyp = 2
/
ATOMIC_SPECIES
Ru 101.07 Ru.upf
Br 79.90 Br.upf
ATOMIC_POSITIONS crystal
Ru 0.500 0.500 0.500
Br 0.000 0.000 0.000
CELL_PARAMETERS angstrom
3.201 0.005 0.000
-1.790 2.653 0.000
0.000 0.000 4.265
! total DFT energy (no corrections): -4.4430 eV per atom
! ΔE_f (raw): 1.03 eV/atom
! V: 36.26 Å³/cell
! magnetization: 0.002 μB per formula unit
! crystal system: orthorhombic